## PmNb2VN4 (PBE-GGA)

Data for a relaxed PmNb2VN4 crystal.

- symmetry = Cmcm (63)
- DOS at the Fermi energy (states/eV/f.u.) = 3.122
- ΔE_f (raw) (eV per atom) = -1.060
- density (g/cm³) = 7.5

a = 5.758 Å, b = 5.758 Å, c = 10.879 Å
α = 90.00°, β = 90.00°, γ = 147.36°
Element x y z (fractional)
Pm: 0.101 0.899 0.750
Pm: 0.899 0.101 0.250
Nb: 0.373 0.627 0.541
Nb: 0.373 0.627 0.959
Nb: 0.627 0.373 0.041
Nb: 0.627 0.373 0.459
V: 0.161 0.839 0.250
V: 0.839 0.161 0.750
N: 0.000 0.000 0.000
N: 0.000 0.000 0.500
N: 0.268 0.732 0.116
N: 0.268 0.732 0.384
N: 0.437 0.563 0.750
N: 0.563 0.437 0.250
N: 0.732 0.268 0.616
N: 0.732 0.268 0.884

---

## AsOF2 (PBE-GGA)

Data for a relaxed AsOF2 crystal.

- symmetry = Fm-3m (225)
- E above lowest polymorph (meV/atom) = 1254
- DOS at the Fermi energy (states/eV/f.u.) = 3.518
- ΔE_f (raw) (eV per atom) = -0.364
- density (g/cm³) = 5.2

a = 3.885 Å, b = 3.885 Å, c = 3.885 Å
α = 60.00°, β = 60.00°, γ = 60.00°
Element x y z (fractional)
As: 0.000 0.000 0.000
O: 0.500 0.500 0.500
F: 0.250 0.250 0.250
F: 0.750 0.750 0.750

---

## Re2AgSb (PBE-GGA)

Data for a relaxed Re2AgSb crystal.

- symmetry = Cmm2 (35)
- DOS at the Fermi energy (states/eV/f.u.) = 2.938
- ΔE_f (raw) (eV per atom) = 0.636
- density (g/cm³) = 13.5

a = 2.885 Å, b = 2.885 Å, c = 10.036 Å
α = 90.00°, β = 90.00°, γ = 117.86°
Element x y z (fractional)
Re: 0.000 0.000 0.000
Re: 0.500 0.500 0.207
Ag: 0.000 0.000 0.455
Sb: 0.500 0.500 0.743

---

## Y3ErNi (PBE-GGA)

Data for a relaxed Y3ErNi crystal.

- symmetry = C2/m (12)
- E above lowest polymorph (meV/atom) = 53
- DOS at the Fermi energy (states/eV/f.u.) = 7.283
- density (g/cm³) = 5.7

a = 7.185 Å, b = 7.185 Å, c = 8.052 Å
α = 123.98°, β = 123.98°, γ = 72.83°
Element x y z (fractional)
Y: 0.048 0.048 0.335
Y: 0.054 0.455 0.216
Y: 0.455 0.054 0.216
Y: 0.545 0.946 0.784
Y: 0.946 0.545 0.784
Y: 0.952 0.952 0.665
Er: 0.450 0.450 0.743
Er: 0.550 0.550 0.257
Ni: 0.253 0.253 0.870
Ni: 0.747 0.747 0.130

---

## Sm2CuSi3Ir4 (PBE-GGA)

Data for a relaxed Sm2CuSi3Ir4 crystal.

- symmetry = P-4m2 (115)
- DOS at the Fermi energy (states/eV/f.u.) = 5.617
- ΔE_f (raw) (eV per atom) = -0.897
- density (g/cm³) = 11.7

a = 4.142 Å, b = 4.142 Å, c = 10.043 Å
α = 90.00°, β = 90.00°, γ = 90.00°
Element x y z (fractional)
Sm: 0.000 0.500 0.245
Sm: 0.500 0.000 0.755
Cu: 0.500 0.500 0.000
Si: 0.000 0.000 0.000
Si: 0.000 0.500 0.628
Si: 0.500 0.000 0.372
Ir: 0.000 0.000 0.500
Ir: 0.000 0.500 0.865
Ir: 0.500 0.000 0.135
Ir: 0.500 0.500 0.500

---

## Y2BRu2 (PBE-GGA)

Data for a relaxed Y2BRu2 crystal.

- symmetry = P4/mbm (127)
- E above lowest polymorph (meV/atom) = 280
- DOS at the Fermi energy (states/eV/f.u.) = 4.494
- density (g/cm³) = 7.4

a = 6.243 Å, b = 6.243 Å, c = 4.498 Å
α = 90.00°, β = 90.00°, γ = 90.00°
Element x y z (fractional)
Y: 0.171 0.329 0.000
Y: 0.329 0.829 0.000
Y: 0.671 0.171 0.000
Y: 0.829 0.671 0.000
B: 0.000 0.000 0.500
B: 0.500 0.500 0.500
Ru: 0.159 0.659 0.500
Ru: 0.341 0.159 0.500
Ru: 0.659 0.841 0.500
Ru: 0.841 0.341 0.500

---

## FeCo2Bi (PBE-GGA)

Data for a relaxed FeCo2Bi crystal.

- symmetry = I-42d (122)
- VASP energy (eV/atom) = -5.958
- DOS at the Fermi energy (states/eV/f.u.) = 7.582
- density (g/cm³) = 9.5

a = 8.865 Å, b = 8.865 Å, c = 8.865 Å
α = 153.96°, β = 153.96°, γ = 37.16°
Element x y z (fractional)
Fe: 0.000 0.000 0.000
Fe: 0.750 0.250 0.500
Co: 0.041 0.625 0.916
Co: 0.375 0.291 0.416
Co: 0.709 0.125 0.084
Co: 0.875 0.959 0.584
Bi: 0.250 0.750 0.500
Bi: 0.500 0.500 0.000

---

## MnZnInNi (PBE-GGA)

Data for a relaxed MnZnInNi crystal.

- symmetry = F-43m (216)
- VASP energy (eV/atom) = -4.711
- DOS at the Fermi energy (states/eV/f.u.) = 1.386
- density (g/cm³) = 8.2

a = 4.391 Å, b = 4.391 Å, c = 4.391 Å
α = 60.00°, β = 60.00°, γ = 60.00°
Element x y z (fractional)
Mn: 0.000 0.000 0.000
Zn: 0.250 0.250 0.250
In: 0.500 0.500 0.500
Ni: 0.750 0.750 0.750

---

## Ac2BeSnRh6 (PBE-GGA)

Data for a relaxed Ac2BeSnRh6 crystal.

- symmetry = Fm-3m (225)
- VASP energy (eV/atom) = -6.372
- DOS at the Fermi energy (states/eV/f.u.) = 11.529
- density (g/cm³) = 10.0

a = 6.556 Å, b = 6.556 Å, c = 6.556 Å
α = 60.00°, β = 60.00°, γ = 60.00°
Element x y z (fractional)
Ac: 0.250 0.250 0.250
Ac: 0.750 0.750 0.750
Be: 0.000 0.000 0.000
Sn: 0.500 0.500 0.500
Rh: 0.227 0.227 0.773
Rh: 0.227 0.773 0.227
Rh: 0.227 0.773 0.773
Rh: 0.773 0.227 0.227
Rh: 0.773 0.227 0.773
Rh: 0.773 0.773 0.227

---

## BePt2SeI (PBE-GGA)

Data for a relaxed BePt2SeI crystal.

- symmetry = P4/mmm (123)
- DOS at the Fermi energy (states/eV/f.u.) = 3.052
- ΔE_f (raw) (eV per atom) = 0.610
- density (g/cm³) = 9.8

a = 4.991 Å, b = 4.991 Å, c = 4.128 Å
α = 90.00°, β = 90.00°, γ = 90.00°
Element x y z (fractional)
Be: 0.000 0.000 0.000
Pt: 0.000 0.500 0.500
Pt: 0.500 0.000 0.500
Se: 0.000 0.000 0.500
I: 0.500 0.500 0.000

---

## CsLi2ScPt (PBE-GGA)

Data for a relaxed CsLi2ScPt crystal.

- symmetry = P4/mmm (123)
- VASP energy (eV/atom) = -2.229
- DOS at the Fermi energy (states/eV/f.u.) = 2.442
- density (g/cm³) = 5.4

a = 4.602 Å, b = 4.602 Å, c = 5.668 Å
α = 90.00°, β = 90.00°, γ = 90.00°
Element x y z (fractional)
Cs: 0.000 0.000 0.000
Li: 0.000 0.500 0.000
Li: 0.500 0.000 0.000
Sc: 0.000 0.000 0.500
Pt: 0.500 0.500 0.500

---

## ZrSc2Fe (PBE-GGA)

Data for a relaxed ZrSc2Fe crystal.

- symmetry = Cmmm (65)
- E above lowest polymorph (meV/atom) = 330
- DOS at the Fermi energy (states/eV/f.u.) = 5.874
- density (g/cm³) = 4.8

a = 5.197 Å, b = 5.197 Å, c = 3.161 Å
α = 90.00°, β = 90.00°, γ = 107.39°
Element x y z (fractional)
Zr: 0.000 0.000 0.000
Sc: 0.000 0.500 0.500
Sc: 0.500 0.000 0.500
Fe: 0.500 0.500 0.000

---

## NdFe3Si3 (PBE-GGA)

Data for a relaxed NdFe3Si3 crystal.

- symmetry = Pm-3n (223)
- DOS at the Fermi energy (states/eV/f.u.) = 7.527
- ΔE_f (raw) (eV per atom) = -0.002
- density (g/cm³) = 5.3

a = 6.296 Å, b = 6.296 Å, c = 6.296 Å
α = 90.00°, β = 90.00°, γ = 90.00°
Element x y z (fractional)
Nd: 0.000 0.000 0.000
Nd: 0.500 0.500 0.500
Fe: 0.000 0.250 0.500
Fe: 0.000 0.750 0.500
Fe: 0.250 0.500 0.000
Fe: 0.500 0.000 0.250
Fe: 0.500 0.000 0.750
Fe: 0.750 0.500 0.000
Si: 0.000 0.500 0.250
Si: 0.000 0.500 0.750
Si: 0.250 0.000 0.500
Si: 0.500 0.250 0.000
Si: 0.500 0.750 0.000
Si: 0.750 0.000 0.500

---

## La3Pm7Pr (PBE-GGA)

Data for a relaxed La3Pm7Pr crystal.

- symmetry = Immm (71)
- E above lowest polymorph (meV/atom) = 20
- DOS at the Fermi energy (states/eV/f.u.) = 17.401
- density (g/cm³) = 6.5

a = 8.674 Å, b = 8.674 Å, c = 8.674 Å
α = 139.32°, β = 97.07°, γ = 96.81°
Element x y z (fractional)
La: 0.000 0.000 0.000
La: 0.211 0.500 0.711
La: 0.789 0.500 0.289
Pm: 0.004 0.204 0.800
Pm: 0.207 0.707 0.500
Pm: 0.403 0.204 0.200
Pm: 0.500 0.500 0.000
Pm: 0.597 0.796 0.800
Pm: 0.793 0.293 0.500
Pm: 0.996 0.796 0.200
Pr: 0.500 0.000 0.500

---

## Hf2NiSnPt (PBE-GGA)

Data for a relaxed Hf2NiSnPt crystal.

- symmetry = P4/mmm (123)
- VASP energy (eV/atom) = -7.095
- DOS at the Fermi energy (states/eV/f.u.) = 4.932
- density (g/cm³) = 11.3

a = 4.810 Å, b = 4.810 Å, c = 4.623 Å
α = 90.00°, β = 90.00°, γ = 90.00°
Element x y z (fractional)
Hf: 0.000 0.500 0.000
Hf: 0.500 0.000 0.000
Ni: 0.000 0.000 0.000
Sn: 0.000 0.000 0.500
Pt: 0.500 0.500 0.500

---

## DyCu6Si2 (PBE-GGA)

Data for a relaxed DyCu6Si2 crystal.

- symmetry = P4/mmm (123)
- DOS at the Fermi energy (states/eV/f.u.) = 4.955
- ΔE_f (raw) (eV per atom) = -0.292
- density (g/cm³) = 7.8

a = 4.022 Å, b = 4.022 Å, c = 7.868 Å
α = 90.00°, β = 90.00°, γ = 90.00°
Element x y z (fractional)
Dy: 0.000 0.000 0.000
Cu: 0.000 0.000 0.500
Cu: 0.000 0.500 0.305
Cu: 0.000 0.500 0.695
Cu: 0.500 0.000 0.305
Cu: 0.500 0.000 0.695
Cu: 0.500 0.500 0.500
Si: 0.500 0.500 0.150
Si: 0.500 0.500 0.850

---

## LaRu5 (PBE-GGA)

Data for a relaxed LaRu5 crystal.

- symmetry = F-43m (216)
- VASP energy (eV/atom) = -8.164
- DOS at the Fermi energy (states/eV/f.u.) = 9.362
- density (g/cm³) = 10.4

a = 5.254 Å, b = 5.254 Å, c = 5.254 Å
α = 60.00°, β = 60.00°, γ = 60.00°
Element x y z (fractional)
La: 0.000 0.000 0.000
Ru: 0.128 0.624 0.624
Ru: 0.250 0.250 0.250
Ru: 0.624 0.128 0.624
Ru: 0.624 0.624 0.128
Ru: 0.624 0.624 0.624

---

## Y2HfCuS (PBE-GGA)

Data for a relaxed Y2HfCuS crystal.

- symmetry = P4/mmm (123)
- DOS at the Fermi energy (states/eV/f.u.) = 4.121
- ΔE_f (raw) (eV per atom) = 0.471
- density (g/cm³) = 5.0

a = 5.652 Å, b = 5.652 Å, c = 4.737 Å
α = 90.00°, β = 90.00°, γ = 90.00°
Element x y z (fractional)
Y: 0.000 0.500 0.000
Y: 0.500 0.000 0.000
Hf: 0.000 0.000 0.000
Cu: 0.500 0.500 0.500
S: 0.000 0.000 0.500

---

## Ba2SnHg2 (PBE-GGA)

Data for a relaxed Ba2SnHg2 crystal.

- symmetry = P4/mbm (127)
- E above lowest polymorph (meV/atom) = 250
- DOS at the Fermi energy (states/eV/f.u.) = 3.924
- density (g/cm³) = 6.9

a = 9.611 Å, b = 9.611 Å, c = 4.150 Å
α = 90.00°, β = 90.00°, γ = 90.00°
Element x y z (fractional)
Ba: 0.170 0.330 0.000
Ba: 0.330 0.830 0.000
Ba: 0.670 0.170 0.000
Ba: 0.830 0.670 0.000
Sn: 0.000 0.000 0.000
Sn: 0.500 0.500 0.000
Hg: 0.127 0.627 0.500
Hg: 0.373 0.127 0.500
Hg: 0.627 0.873 0.500
Hg: 0.873 0.373 0.500

---

## LiIrAuSe2 (PBE-GGA)

Data for a relaxed LiIrAuSe2 crystal.

- symmetry = P4/mmm (123)
- DOS at the Fermi energy (states/eV/f.u.) = 3.358
- ΔE_f (raw) (eV per atom) = 0.746
- density (g/cm³) = 10.5

a = 4.433 Å, b = 4.433 Å, c = 4.476 Å
α = 90.00°, β = 90.00°, γ = 90.00°
Element x y z (fractional)
Li: 0.000 0.000 0.000
Ir: 0.500 0.500 0.500
Au: 0.000 0.000 0.500
Se: 0.000 0.500 0.000
Se: 0.500 0.000 0.000

---

## Tb2CoI (PBE-GGA)

Data for a relaxed Tb2CoI crystal.

- symmetry = R-3m (166)
- E above lowest polymorph (meV/atom) = 0
- DOS at the Fermi energy (states/eV/f.u.) = 0.935
- ΔE_f (raw) (eV per atom) = -0.584
- density (g/cm³) = 7.8

a = 8.225 Å, b = 8.225 Å, c = 8.225 Å
α = 27.85°, β = 27.85°, γ = 27.85°
Element x y z (fractional)
Tb: 0.226 0.226 0.226
Tb: 0.774 0.774 0.774
Co: 0.500 0.500 0.500
I: 0.000 0.000 0.000

---

## CrAsRu (PBE-GGA)

Data for a relaxed CrAsRu crystal.

- symmetry = Imm2 (44)
- VASP energy (eV/atom) = -7.746
- DOS at the Fermi energy (states/eV/f.u.) = 2.678
- density (g/cm³) = 9.1

a = 4.446 Å, b = 4.446 Å, c = 4.446 Å
α = 142.32°, β = 128.44°, γ = 65.60°
Element x y z (fractional)
Cr: 0.000 0.000 0.000
As: 0.327 0.327 0.000
Ru: 0.658 0.658 0.000

---

## Tl2CuN2 (PBE-GGA)

Data for a relaxed Tl2CuN2 crystal.

- symmetry = I4/mmm (139)
- E above lowest polymorph (meV/atom) = 0
- DOS at the Fermi energy (states/eV/f.u.) = 3.750
- ΔE_f (raw) (eV per atom) = 0.491
- density (g/cm³) = 7.9

a = 5.267 Å, b = 5.267 Å, c = 5.267 Å
α = 119.06°, β = 119.06°, γ = 91.64°
Element x y z (fractional)
Tl: 0.250 0.750 0.500
Tl: 0.750 0.250 0.500
Cu: 0.000 0.000 0.000
N: 0.422 0.422 0.000
N: 0.578 0.578 0.000

---

## RbCrSi3 (PBE-GGA)

Data for a relaxed RbCrSi3 crystal.

- symmetry = Pm-3m (221)
- E above lowest polymorph (meV/atom) = 2703
- DOS at the Fermi energy (states/eV/f.u.) = 5.075
- ΔE_f (raw) (eV per atom) = 2.940
- density (g/cm³) = 2.5

a = 5.273 Å, b = 5.273 Å, c = 5.273 Å
α = 90.00°, β = 90.00°, γ = 90.00°
Element x y z (fractional)
Rb: 0.000 0.000 0.000
Cr: 0.500 0.500 0.500
Si: 0.000 0.000 0.500
Si: 0.000 0.500 0.000
Si: 0.500 0.000 0.000

---

Total magnetic moment / μB/f.u.: 0.0 1.0 0.0 0.4 0.0 0.0 5.3 3.7 0.0 0.0 0.4 1.8 4.7 0.0 0.0 0.0 0.0 0.0 0.0 0.0 0.0 1.0 0.0 0.1